Model A:
Compound: VCdI
Source: Alexandria via LeMat-Bulk
Functional: PBE
Structure: optimized geometry

Unit cell a=5.354 b=5.353 c=12.862 alpha=90.00 beta=90.00 gamma=90.00
Last column: magnetic moment on the atom in μB.
Sites, in units of the cell vectors:
I1 0.000 0.000 0.014  0.01
I2 0.500 0.500 0.514  0.01
I3 0.000 0.000 0.672  0.01
I4 0.500 0.500 0.172  0.01
V1 0.678 0.000 0.843  0.37
V2 0.322 0.000 0.843  0.37
V3 0.178 0.500 0.343  0.37
V4 0.822 0.500 0.343  0.37
Cd1 0.000 0.000 0.343  0.01
Cd2 0.500 0.500 0.843  0.01
Cd3 0.000 0.500 0.843  0.00
Cd4 0.500 0.000 0.343  0.00

Calculated values
Space group: No. 71



Model B:
Compound: VCdI
Source: Alexandria via LeMat-Bulk
Functional: PBE
Structure: optimized geometry

Unit cell a=5.116 b=5.162 c=6.016 alpha=90.00 beta=97.35 gamma=90.00
Sites, in units of the cell vectors:
I1 0.765 0.500 0.728
I2 0.235 0.500 0.272
V1 0.656 0.000 0.610
V2 0.344 0.000 0.390
Cd1 0.220 0.000 0.858
Cd2 0.780 0.000 0.142

Calculated values
Space group: No. 10



Model C:
Compound: VCdI
Source: Alexandria via LeMat-Bulk
Functional: PBE
Structure: optimized geometry

Unit cell a=4.655 b=3.800 c=19.096 alpha=90.00 beta=94.27 gamma=90.00
Sites, in units of the cell vectors:
I1 0.774 0.000 0.837
I2 0.226 0.000 0.163
I3 0.774 0.500 0.337
I4 0.226 0.500 0.663
V1 0.163 0.000 0.538
V2 0.837 0.000 0.462
V3 0.163 0.500 0.038
V4 0.837 0.500 0.962
Cd1 0.309 0.000 0.938
Cd2 0.691 0.000 0.062
Cd3 0.309 0.500 0.438
Cd4 0.691 0.500 0.562

Calculated values
Space group: No. 12



Model D:
Compound: VCdI
Source: Alexandria via LeMat-Bulk
Functional: PBE
Structure: optimized geometry

Unit cell a=4.415 b=4.477 c=16.446 alpha=90.00 beta=98.86 gamma=90.00
Sites, in units of the cell vectors:
I1 0.605 0.000 0.003
I2 0.605 0.500 0.503
I3 0.211 0.000 0.651
I4 0.211 0.500 0.151
V1 0.840 0.000 0.418
V2 0.840 0.500 0.918
V3 0.227 0.000 0.480
V4 0.227 0.500 0.980
Cd1 0.809 0.000 0.807
Cd2 0.809 0.500 0.307
Cd3 0.288 0.000 0.305
Cd4 0.288 0.500 0.805

Calculated values
Space group: No. 8



Stability ranking, top entry: model C; the second entry is 4.4 kJ/mol of atoms less favorable.



Model A:
Compound: Cd3WI
Source: Alexandria via LeMat-Bulk
Functional: PBE
Structure: optimized geometry

Unit cell a=5.837 b=5.837 c=5.837 alpha=90.00 beta=90.00 gamma=90.00
Last column: magnetic moment on the atom in μB.
Sites, in units of the cell vectors:
I1 0.000 0.000 0.000  0.02
W1 0.500 0.500 0.500  3.46
Cd1 0.000 0.500 0.000  0.02
Cd2 0.000 0.000 0.500  0.02
Cd3 0.500 0.000 0.000  0.02

Calculated values
Space group: No. 221



Model B:
Compound: Cd3WI
Source: Alexandria via LeMat-Bulk
Functional: PBE
Structure: optimized geometry

Unit cell a=5.582 b=5.582 c=5.582 alpha=90.00 beta=90.00 gamma=90.00
Last column: magnetic moment on the atom in μB.
Sites, in units of the cell vectors:
I1 0.500 0.500 0.500  0.08
W1 0.000 0.000 0.000  2.50
Cd1 0.000 0.500 0.000  0.04
Cd2 0.000 0.000 0.500  0.02
Cd3 0.500 0.000 0.000  0.06

Calculated values
Space group: No. 221



Stability ranking, top entry: model B; the second entry is 80.6 kJ/mol of atoms less favorable.



Model A:
Compound: Y2CdI
Source: Alexandria via LeMat-Bulk
Functional: PBE
Structure: optimized geometry

Unit cell a=4.927 b=4.927 c=11.478 alpha=77.61 beta=77.61 gamma=90.00
Last column: magnetic moment on the atom in μB.
Sites, in units of the cell vectors:
I1 0.000 0.000 0.000  0.00
I2 0.750 0.250 0.500  0.00
Y1 0.628 0.125 0.250  0.33
Y2 0.122 0.625 0.250  0.33
Y3 0.375 0.372 0.750  0.33
Y4 0.875 0.878 0.750  0.36
Cd1 0.500 0.500 0.000  0.03
Cd2 0.250 0.750 0.500  0.03

Calculated values
Space group: No. 122



Model B:
Compound: Y2CdI
Source: Alexandria via LeMat-Bulk
Functional: PBE
Structure: optimized geometry

Unit cell a=5.406 b=5.406 c=5.406 alpha=60.00 beta=60.00 gamma=60.00
Sites, in units of the cell vectors:
I1 0.500 0.500 0.500
Y1 0.250 0.250 0.250
Y2 0.750 0.750 0.750
Cd1 0.000 0.000 0.000

Calculated values
Space group: No. 225



Model C:
Compound: Y2CdI
Source: Alexandria via LeMat-Bulk
Functional: PBE
Structure: optimized geometry

Unit cell a=3.647 b=3.647 c=11.556 alpha=80.92 beta=80.92 gamma=60.00
Sites, in units of the cell vectors:
I1 0.500 0.500 0.500
Y1 0.093 0.093 0.720
Y2 0.907 0.907 0.280
Cd1 0.000 0.000 0.000

Calculated values
Space group: No. 166



Stability ranking, top entry: model B; the second entry is 23.0 kJ/mol of atoms less favorable.



Model A:
Compound: Zn2Cd2I
Source: Alexandria via LeMat-Bulk
Functional: PBE
Structure: optimized geometry

Unit cell a=3.847 b=3.847 c=8.853 alpha=77.45 beta=77.45 gamma=90.00
Sites, in units of the cell vectors:
I1 0.000 0.000 0.000
Zn1 0.750 0.250 0.500
Zn2 0.250 0.750 0.500
Cd1 0.379 0.379 0.241
Cd2 0.621 0.621 0.759

Calculated values
Space group: No. 139



Model B:
Compound: Zn2Cd2I
Source: Alexandria via LeMat-Bulk
Functional: PBE
Structure: optimized geometry

Unit cell a=8.271 b=8.271 c=3.634 alpha=90.00 beta=90.00 gamma=90.00
Sites, in units of the cell vectors:
I1 0.000 0.000 0.000
I2 0.500 0.500 0.000
Zn1 0.177 0.677 0.500
Zn2 0.677 0.823 0.500
Zn3 0.823 0.323 0.500
Zn4 0.323 0.177 0.500
Cd1 0.373 0.873 0.000
Cd2 0.873 0.627 0.000
Cd3 0.627 0.127 0.000
Cd4 0.127 0.373 0.000

Calculated values
Space group: No. 127



Stability ranking, top entry: model A; the second entry is 5.4 kJ/mol of atoms less favorable.



Model A:
Compound: ZnCdI3
Source: Alexandria via LeMat-Bulk
Functional: PBE
Structure: optimized geometry

Unit cell a=5.618 b=5.618 c=5.618 alpha=90.00 beta=90.00 gamma=90.00
Sites, in units of the cell vectors:
I1 0.000 0.500 0.000
I2 0.000 0.000 0.500
I3 0.500 0.000 0.000
Zn1 0.000 0.000 0.000
Cd1 0.500 0.500 0.500

Calculated values
Space group: No. 221



Model B:
Compound: ZnCdI3
Source: Alexandria via LeMat-Bulk
Functional: PBE
Structure: optimized geometry

Unit cell a=5.916 b=5.916 c=5.916 alpha=90.00 beta=90.00 gamma=90.00
Last column: magnetic moment on the atom in μB.
Sites, in units of the cell vectors:
I1 0.000 0.500 0.000  0.13
I2 0.000 0.000 0.500  0.08
I3 0.500 0.000 0.000  0.09
Zn1 0.500 0.500 0.500  0.25
Cd1 0.000 0.000 0.000  0.00

Calculated values
Space group: No. 221



Stability ranking, top entry: model A; the second entry is 11.0 kJ/mol of atoms less favorable.



Model A:
Compound: Cd8In3
Source: Alexandria via LeMat-Bulk
Functional: PBE
Structure: optimized geometry

Unit cell a=5.161 b=5.161 c=13.378 alpha=70.10 beta=70.10 gamma=54.80
Sites, in units of the cell vectors:
Cd1 0.178 0.178 0.455
Cd2 0.374 0.374 0.901
Cd3 0.626 0.626 0.099
Cd4 0.822 0.822 0.545
Cd5 0.535 0.535 0.371
Cd6 0.108 0.108 0.711
Cd7 0.892 0.892 0.289
Cd8 0.465 0.465 0.629
In1 0.261 0.261 0.187
In2 0.739 0.739 0.813
In3 0.000 0.000 0.000

Calculated values
Space group: No. 12



Model B:
Compound: Cd8In3
Source: Alexandria via LeMat-Bulk
Functional: PBE
Structure: optimized geometry

Unit cell a=6.752 b=6.752 c=6.752 alpha=96.11 beta=96.11 gamma=96.11
Sites, in units of the cell vectors:
Cd1 0.923 0.315 0.077
Cd2 0.315 0.077 0.923
Cd3 0.077 0.923 0.315
Cd4 0.361 0.361 0.361
Cd5 0.639 0.639 0.639
Cd6 0.923 0.077 0.685
Cd7 0.685 0.923 0.077
Cd8 0.077 0.685 0.923
In1 0.500 0.000 0.500
In2 0.000 0.500 0.500
In3 0.500 0.500 0.000

Calculated values
Space group: No. 148



Stability ranking, top entry: model A; the second entry is 8.5 kJ/mol of atoms less favorable.



Model A:
Compound: Cd3In4
Source: Alexandria via LeMat-Bulk
Functional: PBE
Structure: optimized geometry

Unit cell a=5.768 b=5.768 c=6.321 alpha=90.00 beta=90.00 gamma=120.00
Sites, in units of the cell vectors:
Cd1 0.000 0.500 0.000
Cd2 0.500 0.500 0.000
Cd3 0.500 0.000 0.000
In1 0.000 0.000 0.261
In2 0.000 0.000 0.739
In3 0.667 0.333 0.500
In4 0.333 0.667 0.500

Calculated values
Space group: No. 191



Model B:
Compound: Cd3In4
Source: Alexandria via LeMat-Bulk
Functional: PBE
Structure: optimized geometry

Unit cell a=4.986 b=4.986 c=9.290 alpha=74.43 beta=74.43 gamma=60.00
Sites, in units of the cell vectors:
Cd1 0.752 0.752 0.744
Cd2 0.248 0.248 0.256
Cd3 0.000 0.000 0.000
In1 0.380 0.380 0.859
In2 0.133 0.133 0.602
In3 0.867 0.867 0.398
In4 0.620 0.620 0.141

Calculated values
Space group: No. 166



Model C:
Compound: Cd3In4
Source: Alexandria via LeMat-Bulk
Functional: PBE
Structure: optimized geometry

Unit cell a=12.299 b=12.299 c=12.299 alpha=161.81 beta=161.81 gamma=25.83
Sites, in units of the cell vectors:
In1 0.853 0.853 0.000
In2 0.147 0.147 0.000
In3 0.571 0.571 0.000
In4 0.429 0.429 0.000
Cd1 0.000 0.000 0.000
Cd2 0.717 0.717 0.000
Cd3 0.283 0.283 0.000

Calculated values
Space group: No. 139



Stability ranking, top entry: model A; the second entry is 1.2 kJ/mol of atoms less favorable.



Model A:
Compound: Cd13In2
Source: Alexandria via LeMat-Bulk
Functional: PBE
Structure: optimized geometry

Unit cell a=7.832 b=7.832 c=9.055 alpha=64.38 beta=64.38 gamma=60.00
Sites, in units of the cell vectors:
Cd1 0.500 0.500 0.500
Cd2 0.001 0.613 0.772
Cd3 0.613 0.613 0.772
Cd4 0.613 0.001 0.772
Cd5 0.387 0.999 0.228
Cd6 0.999 0.387 0.228
Cd7 0.387 0.387 0.228
Cd8 0.128 0.753 0.366
Cd9 0.753 0.753 0.366
Cd10 0.753 0.128 0.366
Cd11 0.247 0.872 0.634
Cd12 0.872 0.247 0.634
Cd13 0.247 0.247 0.634
In1 0.636 0.636 0.091
In2 0.364 0.364 0.909

Calculated values
Space group: No. 166



Model B:
Compound: Cd13In2
Source: Alexandria via LeMat-Bulk
Functional: PBE
Structure: optimized geometry

Unit cell a=5.221 b=7.819 c=10.021 alpha=119.78 beta=94.12 gamma=93.83
Sites, in units of the cell vectors:
Cd1 0.667 0.670 0.005
Cd2 0.333 0.330 0.995
Cd3 0.000 0.000 0.000
Cd4 0.272 0.066 0.602
Cd5 0.728 0.934 0.398
Cd6 0.136 0.538 0.810
Cd7 0.864 0.462 0.190
Cd8 0.400 0.593 0.386
Cd9 0.600 0.407 0.614
Cd10 0.466 0.870 0.806
Cd11 0.534 0.130 0.194
Cd12 0.800 0.201 0.801
Cd13 0.200 0.799 0.199
In1 0.930 0.734 0.599
In2 0.070 0.266 0.401

Calculated values
Space group: No. 2



Stability ranking, top entry: model B; the second entry is 11.6 kJ/mol of atoms less favorable.